A geometry-optimized NdDy3S6 structure. Source: the Open Quantum Materials Database, functional PBE.

total DFT energy (no corrections)	-6.42	eV/atom

a = 11.0738 Å, b = 3.9894 Å, c = 11.3517 Å
α = 90.00°, β = 108.67°, γ = 90.00°
With the nearest neighbours (Å) after each atom.
Sites, in units of the cell vectors:
Dy 0.6610 0.2500 0.0862  6 S 2.66-2.80
Dy 0.0610 0.7500 0.1678  6 S 2.67-2.78
Dy 0.8194 0.7500 0.4977  7 S 2.70-2.93
Dy 0.1806 0.2500 0.5023  7 S 2.70-2.93
Dy 0.9390 0.2500 0.8322  6 S 2.67-2.78
Dy 0.3390 0.7500 0.9138  6 S 2.66-2.80
Nd 0.4521 0.7500 0.3064  8 S 2.90-3.05
Nd 0.5479 0.2500 0.6936  8 S 2.90-3.05
S 0.8961 0.2500 0.0601  4 Dy 2.71-2.78
S 0.4176 0.2500 0.0950  3 Dy 2.73-2.80, 2 Nd 3.05
S 0.6953 0.7500 0.2489  3 Dy 2.66-2.72, 1 Nd 2.97
S 0.2377 0.2500 0.2733  3 Dy 2.78-2.87, 2 Nd 3.03
S 0.0223 0.7500 0.3885  4 Dy 2.67-2.89
S 0.6167 0.2500 0.4631  3 Nd 2.90-2.95, 2 Dy 2.93
S 0.3833 0.7500 0.5369  3 Nd 2.90-2.95, 2 Dy 2.93
S 0.9777 0.2500 0.6115  4 Dy 2.67-2.89
S 0.7623 0.7500 0.7267  3 Dy 2.78-2.86, 2 Nd 3.03
S 0.3047 0.2500 0.7511  3 Dy 2.66-2.72, 1 Nd 2.97
S 0.5824 0.7500 0.9050  3 Dy 2.73-2.80, 2 Nd 3.05
S 0.1039 0.7500 0.9399  4 Dy 2.71-2.78

A geometry-optimized MgZnTeO structure. Source: the Open Quantum Materials Database, functional PBE.

total DFT energy (no corrections)	-3.92	eV/atom
ΔE to the lowest computed polymorph	0.371	eV per formula unit

a = 7.0369 Å, b = 7.0369 Å, c = 5.8681 Å
α = 90.00°, β = 90.00°, γ = 31.35°
With the nearest neighbours (Å) after each atom.
Sites, in units of the cell vectors:
Mg 0.6381 0.6381 0.4946  2 O 2.08
Mg 0.3619 0.3619 0.9946  2 O 2.08
O 0.9237 0.9237 0.0237  2 Zn 1.97-2.02, 2 Mg 2.08
O 0.0763 0.0763 0.5237  2 Zn 1.97-2.02, 2 Mg 2.08
Te 0.6689 0.6689 0.0111  2 Zn 2.63, 1 Mg 2.87
Te 0.3311 0.3311 0.5111  2 Zn 2.63, 1 Mg 2.87
Zn 0.9487 0.9487 0.3632  2 O 1.97-2.02
Zn 0.0513 0.0513 0.8632  2 O 1.97-2.02

A geometry-optimized ZnFeAgAs structure. Source: the Open Quantum Materials Database, functional PBE.

total DFT energy (no corrections)	-3.97	eV/atom
ΔE to the lowest computed polymorph	0.000	eV per formula unit

a = 4.4427 Å, b = 4.4427 Å, c = 4.4427 Å
α = 60.00°, β = 60.00°, γ = 60.00°
With the nearest neighbours (Å) after each atom.
Sites, in units of the cell vectors:
Ag 0.2500 0.2500 0.2500  4 As 2.72, 4 Zn 2.72
As 0.0000 0.0000 0.0000  4 Fe 2.72, 4 Ag 2.72
Fe 0.7500 0.7500 0.7500  4 Zn 2.72, 4 As 2.72
Zn 0.5000 0.5000 0.5000  4 Fe 2.72, 4 Ag 2.72

A geometry-optimized PrAlNO structure. Source: the Open Quantum Materials Database, functional PBE.

total DFT energy (no corrections)	-7.34	eV/atom
ΔE to the lowest computed polymorph	0.000	eV per formula unit

a = 3.4566 Å, b = 5.4281 Å, c = 5.9647 Å
α = 90.00°, β = 90.00°, γ = 90.00°
With the nearest neighbours (Å) after each atom.
Sites, in units of the cell vectors:
Al 0.5000 0.0007 0.2015  2 O 1.81, 2 N 1.88
Al 0.5000 0.5007 0.7985  2 O 1.81, 2 N 1.88
N 0.0000 0.9988 0.3253  2 Al 1.88
N 0.0000 0.4988 0.6747  2 Al 1.88
O 0.5000 0.2539 0.0035  2 Al 1.81
O 0.5000 0.7539 0.9965  2 Al 1.81
Pr 0.0000 0.5006 0.2856  1 N 2.32
Pr 0.0000 0.0006 0.7144  1 N 2.32

A geometry-optimized TcOs2W structure. Source: the Open Quantum Materials Database, functional PBE.

total DFT energy (no corrections)	-10.99	eV/atom
energy of formation	453	meV per atom

a = 4.4005 Å, b = 4.4005 Å, c = 4.4005 Å
α = 60.00°, β = 60.00°, γ = 60.00°
With the nearest neighbours (Å) after each atom.
Sites, in units of the cell vectors:
Os 0.0000 0.0000 0.0000  4 W 2.69, 4 Os 2.69
Os 0.2500 0.2500 0.2500  4 Tc 2.69, 4 Os 2.69
Tc 0.5000 0.5000 0.5000  4 W 2.69, 4 Os 2.69
W 0.7500 0.7500 0.7500  4 Tc 2.69, 4 Os 2.69

A geometry-optimized RbTaAgSe3 structure. Source: the Open Quantum Materials Database, functional PBE.

total DFT energy (no corrections)	-4.95	eV/atom

a = 8.1040 Å, b = 8.1040 Å, c = 10.3076 Å
α = 90.00°, β = 90.00°, γ = 27.22°
With the nearest neighbours (Å) after each atom.
Sites, in units of the cell vectors:
Ag 0.0462 0.0462 0.2500  4 Se 2.54-2.62
Ag 0.9538 0.9538 0.7500  4 Se 2.54-2.62
Rb 0.7458 0.7458 0.2500  8 Se 3.50-3.60, 2 Ag 3.68, 2 Rb 3.81
Rb 0.2542 0.2542 0.7500  8 Se 3.50-3.60, 2 Ag 3.68, 2 Rb 3.81
Se 0.1174 0.1174 0.0285  1 Ag 2.54, 2 Ta 2.67
Se 0.4321 0.4321 0.2500  2 Ag 2.62, 2 Ta 2.79
Se 0.1174 0.1174 0.4715  1 Ag 2.54, 2 Ta 2.67
Se 0.8826 0.8826 0.5285  1 Ag 2.54, 2 Ta 2.67
Se 0.5679 0.5679 0.7500  2 Ag 2.62, 2 Ta 2.79
Se 0.8826 0.8826 0.9715  1 Ag 2.54, 2 Ta 2.67
Ta 0.5000 0.5000 0.0000  6 Se 2.67-2.79
Ta 0.5000 0.5000 0.5000  6 Se 2.67-2.79

Q: Which value of total DFT energy (no corrections) does entry 5 give?
A: -10.99 eV/atom

Repeat the sixth record exactly.
A geometry-optimized RbTaAgSe3 structure. Source: the Open Quantum Materials Database, functional PBE.

total DFT energy (no corrections)	-4.95	eV/atom

a = 8.1040 Å, b = 8.1040 Å, c = 10.3076 Å
α = 90.00°, β = 90.00°, γ = 27.22°
With the nearest neighbours (Å) after each atom.
Sites, in units of the cell vectors:
Ag 0.0462 0.0462 0.2500  4 Se 2.54-2.62
Ag 0.9538 0.9538 0.7500  4 Se 2.54-2.62
Rb 0.7458 0.7458 0.2500  8 Se 3.50-3.60, 2 Ag 3.68, 2 Rb 3.81
Rb 0.2542 0.2542 0.7500  8 Se 3.50-3.60, 2 Ag 3.68, 2 Rb 3.81
Se 0.1174 0.1174 0.0285  1 Ag 2.54, 2 Ta 2.67
Se 0.4321 0.4321 0.2500  2 Ag 2.62, 2 Ta 2.79
Se 0.1174 0.1174 0.4715  1 Ag 2.54, 2 Ta 2.67
Se 0.8826 0.8826 0.5285  1 Ag 2.54, 2 Ta 2.67
Se 0.5679 0.5679 0.7500  2 Ag 2.62, 2 Ta 2.79
Se 0.8826 0.8826 0.9715  1 Ag 2.54, 2 Ta 2.67
Ta 0.5000 0.5000 0.0000  6 Se 2.67-2.79
Ta 0.5000 0.5000 0.5000  6 Se 2.67-2.79

Q: total DFT energy (no corrections) of number 2 (MgZnTeO)?
A: -3.92 eV/atom